This record from Alexandria describes a geometry-optimized Mn2CuIr structure. The functional is PBE-GGA.

Values from the calculation:
- E_tot (eV per atom) = -7.82
- space-group type = P4/mmm (123)

abc: 4.3444 4.3444 2.9179
angles: 90.00 90.00 90.00
Closest atoms and distances in Å follow each position.
Atoms (fractional coordinates):
Mn (0.0000, 0.5000, 0.0000)  4 Cu 2.62, 4 Ir 2.62, 2 Mn 2.92
Mn (0.5000, 0.0000, 0.0000)  4 Cu 2.62, 4 Ir 2.62, 2 Mn 2.92
Cu (0.0000, 0.0000, 0.5000)  8 Mn 2.62, 2 Cu 2.92
Ir (0.5000, 0.5000, 0.5000)  8 Mn 2.62, 2 Ir 2.92